No. 1
! PmSbPd6 PBE optimized geometry; values from VASP
! Crystal system: trigonal
! ΔE to the lowest computed polymorph (eV per atom): 0.284
! Calculated total energy (eV per atom): -5.30
! E_form (uncorrected) (eV/f.u.): -2.36
&SYSTEM
  ibrav = 0, nat = 8, ntyp = 3
/
ATOMIC_SPECIES
Pm 145.00 Pm.upf
Sb 121.76 Sb.upf
Pd 106.42 Pd.upf
CELL_PARAMETERS angstrom
2.759 1.593 6.783
-2.759 1.593 6.783
0.000 -3.186 6.783
ATOMIC_POSITIONS crystal
Pm 0.000 0.000 0.000
Sb 0.500 0.500 0.500
Pd 0.059 0.571 0.571
Pd 0.429 0.429 0.941
Pd 0.429 0.941 0.429
Pd 0.571 0.059 0.571
Pd 0.571 0.571 0.059
Pd 0.941 0.429 0.429



No. 2
! V2OsC PBE optimized geometry; values from VASP
! Crystal system: tetragonal
! Calculated total energy (eV per atom): -9.58
&SYSTEM
  ibrav = 0, nat = 4, ntyp = 3
/
ATOMIC_SPECIES
V 50.94 V.upf
Os 190.23 Os.upf
C 12.01 C.upf
CELL_PARAMETERS angstrom
2.635 0.000 0.000
0.000 2.635 0.000
0.000 0.000 6.553
ATOMIC_POSITIONS crystal
V 0.000 0.000 0.183
V 0.000 0.000 0.817
Os 0.500 0.500 0.500
C 0.500 0.500 0.000